A geometry-optimized Ba2Y2FeCo2CuO10 structure. Source: the Alexandria database, functional PBE with a Hubbard U.

Computed properties:
- Crystal system: tetragonal
- Space-group type: I4mm, No. 107
- E_tot: -123.30 eV/cell
- V: 13.3 Å³/atom

Cell lengths 8.712, 8.712, 8.712 Å; angles 142.91, 142.91, 53.47 degrees
Atoms (fractional coordinates):
Ba 0.000 0.500 0.500
Ba 0.500 0.000 0.500
Y 0.252 0.752 0.500
Y 0.752 0.252 0.500
Fe 0.372 0.372 0.000
Co 0.128 0.128 0.000
Co 0.645 0.645 0.000
Cu 0.857 0.857 0.000
O 0.008 0.008 0.000
O 0.095 0.095 0.506
O 0.095 0.589 0.000
O 0.414 0.414 0.508
O 0.414 0.906 0.000
O 0.494 0.494 0.000
O 0.589 0.095 0.000
O 0.589 0.589 0.494
O 0.906 0.414 0.000
O 0.906 0.906 0.492